No. 1
Ni2PdW: relaxed, GGA-PBE.

Geometry as POSCAR:
```
Ni2PdW
1.0
0.0000 2.9728 2.9728
2.9728 0.0000 2.9728
2.9728 2.9728 0.0000
Pd Ni W
1 2 1
Direct
0.0000 0.0000 0.0000
0.2500 0.2500 0.2500
0.7500 0.7500 0.7500
0.5000 0.5000 0.5000
```

Values from the calculation:
Calculated formation energy in eV/f.u.: 0.282
Polymorph energy (0 for the lowest one) in meV/atom: 79

***

No. 2
Hg4Br4Cl3: relaxed, GGA-PBE.

Geometry as POSCAR:
```
Hg4Br4Cl3
1.0
-4.3089 4.0182 -2.7465
5.2822 -2.9506 -4.9214
-5.1021 -6.4807 -1.4446
Cl Br Hg
3 4 4
Direct
0.5784 0.6562 0.6861
0.4216 0.3438 0.3139
0.0000 0.5000 0.0000
0.1415 0.7838 0.4378
0.8585 0.2162 0.5622
0.7025 0.9080 0.1455
0.2975 0.0921 0.8545
0.6401 0.7811 0.4211
0.3599 0.2189 0.5789
0.9103 0.3218 0.2580
0.0897 0.6782 0.7420
```

Values from the calculation:
Formation energy (no corrections) in kJ per mole of atoms: -40

***

No. 3
ZrRe2Ru: relaxed, GGA-PBE.

Geometry as POSCAR:
```
ZrRe2Ru
1.0
-2.0260 -0.5119 -1.8532
1.3171 -3.7052 -0.4165
-3.6059 -1.7801 4.4338
Re Ru Zr
2 1 1
Direct
0.0000 0.0000 0.0356
0.0000 0.0000 0.4644
0.5000 0.5000 0.2500
0.5000 0.5000 0.7500
```

Values from the calculation:
Calculated formation energy in eV/f.u.: 0.569
Polymorph energy (0 for the lowest one) in meV/atom: 171

***

No. 4
MgZrGe2H: relaxed, GGA-PBE.

Geometry as POSCAR:
```
MgZrGe2H
1.0
5.1989 0.0000 0.0000
0.0000 5.9084 0.0000
0.0000 0.0000 5.1989
Ge Mg H Zr
2 1 1 1
Direct
0.0000 0.0000 0.5000
0.5000 0.0000 0.0000
0.0000 0.5000 0.0000
0.5000 0.5000 0.5000
0.0000 0.0000 0.0000
```

Values from the calculation:
Polymorph energy (0 for the lowest one) in meV/atom: 0

***

No. 5
Al2Cd2Ag: relaxed, GGA-PBE.

Geometry as POSCAR:
```
Al2Cd2Ag
1.0
-4.9527 -1.0359 -5.2715
3.8886 -5.6383 -2.5454
-2.0198 -2.4687 2.3828
Al Cd Ag
4 4 2
Direct
0.6552 0.8448 0.5000
0.3448 0.1552 0.5000
0.1552 0.6552 0.5000
0.8448 0.3448 0.5000
0.1453 0.3547 0.0000
0.6453 0.1453 0.0000
0.8547 0.6453 0.0000
0.3547 0.8547 0.0000
0.5000 0.5000 0.0000
0.0000 0.0000 0.0000
```

Values from the calculation:
Calculated formation energy in eV/f.u.: 1.348
Polymorph energy (0 for the lowest one) in meV/atom: 143

***

No. 6
Cd2GaH2: relaxed, GGA-PBE.

Geometry as POSCAR:
```
Cd2GaH2
1.0
3.3727 0.0000 0.0000
0.0000 3.3727 0.0000
1.6864 1.6864 6.5616
Cd Ga H
2 1 2
Direct
0.6457 0.6457 0.7087
0.3543 0.3543 0.2913
0.0000 0.0000 0.0000
0.2500 0.7500 0.5000
0.7500 0.2500 0.5000
```

Values from the calculation:
Polymorph energy (0 for the lowest one) in meV/atom: 0

***

No. 7
Na2Pa2WN6: relaxed, GGA-PBE.

Geometry as POSCAR:
```
Na2Pa2WN6
1.0
5.8479 0.0160 0.1514
-2.8765 5.0916 0.1514
-0.9671 -1.6624 5.7071
N Na Pa W
6 2 2 1
Direct
0.3597 0.0432 0.6765
0.6403 0.9568 0.3235
0.9568 0.6403 0.3235
0.0432 0.3597 0.6765
0.2467 0.2467 0.3191
0.7533 0.7533 0.6809
0.1521 0.8479 0.0000
0.8479 0.1521 0.0000
0.3349 0.6651 0.5000
0.6651 0.3349 0.5000
0.0000 0.0000 0.5000
```

Values from the calculation:
Formation energy (no corrections) in kJ per mole of atoms: -89

***

No. 8
SrAlTe2: relaxed, GGA-PBE.

Geometry as POSCAR:
```
SrAlTe2
1.0
3.7050 5.8405 5.8154
7.3071 4.6950 2.4941
3.7904 8.0964 1.3185
Sr Te Al
1 2 1
Direct
0.5000 0.5000 0.5000
0.8983 0.8983 0.8983
0.1017 0.1017 0.1017
0.0000 0.0000 0.0000
```

Values from the calculation:
Formation energy (no corrections) in kJ per mole of atoms: -48

***

No. 9
PuCO4: relaxed, GGA-PBE.

Geometry as POSCAR:
```
PuCO4
1.0
-4.7213 -0.6315 1.6630
2.7185 0.1016 7.7563
-1.0674 8.6664 0.2606
Pu C O
4 4 16
Direct
0.7500 0.2503 0.2501
0.2500 0.2497 0.7501
0.2500 0.7497 0.7499
0.7500 0.7503 0.2499
0.2500 0.2511 0.4167
0.7500 0.7489 0.5833
0.2500 0.7511 0.0833
0.7500 0.2489 0.9167
0.4719 0.7510 0.0092
0.9719 0.7490 0.5092
0.2500 0.2510 0.2688
0.2500 0.4997 0.7509
0.9719 0.2490 0.9908
0.2500 0.9997 0.7491
0.7500 0.0003 0.2509
0.0281 0.7510 0.0092
0.0281 0.2510 0.4908
0.4719 0.2510 0.4908
0.7500 0.2490 0.7688
0.5281 0.7490 0.5092
0.7500 0.7490 0.7312
0.5281 0.2490 0.9908
0.2500 0.7510 0.2312
0.7500 0.5003 0.2491
```

Values from the calculation:
Formation energy (no corrections) in kJ per mole of atoms: -213

***

No. 10
Sr2Ge2Au: relaxed, GGA-PBE.

Geometry as POSCAR:
```
Sr2Ge2Au
1.0
4.5935 0.0000 0.0000
2.2968 5.8038 -0.1203
2.2968 0.6932 10.1525
Sr Ge Au
4 4 2
Direct
0.7102 0.2338 0.3459
0.9043 0.2933 0.8981
0.0957 0.7067 0.1019
0.2898 0.7662 0.6541
0.0473 0.3285 0.5770
0.9527 0.6715 0.4230
0.3867 0.1194 0.1071
0.6133 0.8806 0.8929
0.4337 0.8153 0.3174
0.5663 0.1847 0.6826
```

Values from the calculation:
Calculated formation energy in eV/f.u.: -3.318
Polymorph energy (0 for the lowest one) in meV/atom: 0

***

No. 11
MgAl4Tl4O12: relaxed, GGA-PBE.

Geometry as POSCAR:
```
MgAl4Tl4O12
1.0
7.8988 0.0000 0.0000
0.0000 5.6699 0.0080
0.0000 1.8660 5.6814
O Tl Al Mg
12 4 4 1
Direct
0.2334 0.2804 0.2436
0.5000 0.3525 0.9294
0.0000 0.4782 0.9252
0.6846 0.8018 0.3470
0.5000 0.1124 0.5553
0.0000 0.9451 0.5385
0.7811 0.2887 0.6949
0.2922 0.7675 0.8246
0.7666 0.2804 0.2436
0.7078 0.7675 0.8246
0.3154 0.8018 0.3470
0.2189 0.2887 0.6949
0.5000 0.9286 0.0177
0.5000 0.5034 0.5077
0.0000 0.8663 0.9669
0.0000 0.5513 0.5253
0.7205 0.0288 0.5252
0.2639 0.4308 0.9344
0.2795 0.0288 0.5252
0.7361 0.4308 0.9344
0.0000 0.1911 0.2197
```

Values from the calculation:
Formation energy (no corrections) in kJ per mole of atoms: -169
Polymorph energy (0 for the lowest one) in meV/atom: 67

***

No. 12
LiRuPb2: relaxed, GGA-PBE.

Geometry as POSCAR:
```
LiRuPb2
1.0
-0.0307 5.3822 -1.0398
-2.1601 3.9397 -3.1404
-3.5885 1.1976 2.8153
Pb Ru Li
2 1 1
Direct
0.9965 0.9965 0.0478
0.7625 0.7625 0.6920
0.4986 0.4986 0.5315
0.2424 0.2424 0.2287
```

Values from the calculation:
Calculated formation energy in eV/f.u.: 0.820
Polymorph energy (0 for the lowest one) in meV/atom: 98

***

Q: Number 6 is which compound?
A: Cd2GaH2